[1]
Density functional theory data (PBE) for TbNdGa3 after structural relaxation.

Values from the calculation:
Its symmetry is Cmcm, No. 63. The calculation puts the energy relative to the elements at -0.665 eV per atom. For the total energy, the calculation gives -4.36 eV per atom.

The structure in extended XYZ format:
```
10
Lattice="4.219 0.000 0.000 0.000 4.305 0.000 0.000 -2.152 12.917" Properties=species:S:1:pos:R:3 pbc="T T T"
Nd 3.164 2.152 11.023
Nd 1.055 0.000 1.894
Ga 1.055 0.000 12.294
Ga 1.055 2.152 4.562
Ga 3.164 2.152 3.107
Ga 3.164 0.000 8.354
Ga 1.055 0.000 9.810
Ga 3.164 2.152 0.623
Tb 1.055 2.152 7.658
Tb 3.164 0.000 5.259
```



[2]
Density functional theory data (PBE) for Al5Sb after structural relaxation.

Values from the calculation:
Its symmetry is Cmmm, No. 65. For the total energy, the calculation gives -3.69 eV per atom. The energy above the most stable polymorph in this dataset is 0.0000 eV per atom. The value obtained for the energy relative to the elements, uncorrected is 118.9 meV per atom.

The structure in extended XYZ format:
```
6
Lattice="5.102 4.311 1.758 -5.498 -0.933 -4.075 -2.433 1.699 2.894" Properties=species:S:1:pos:R:3 pbc="T T T"
Al -1.217 0.849 1.447
Al -3.626 -0.007 -3.044
Al 0.460 3.466 1.321
Al -3.290 1.611 -0.743
Al 3.229 3.385 0.728
Sb -0.198 1.689 -1.158
```



[3]
Density functional theory data (PBE) for La6Tb7Dy16 after structural relaxation.

Values from the calculation:
Its symmetry is Fm-3m, No. 225. The calculation puts the energy relative to the elements at 0.190 eV per atom. For the total energy, the calculation gives -4.49 eV per atom.

The structure in extended XYZ format:
```
29
Lattice="-1.896 -0.720 10.974 7.914 -3.993 6.780 5.295 6.852 7.039" Properties=species:S:1:pos:R:3 pbc="T T T"
Dy 6.965 1.317 15.264
Dy 3.304 3.165 12.127
Dy 3.812 3.053 6.533
Dy 7.501 -0.914 18.259
Dy 4.348 0.822 9.528
Dy 6.798 3.992 12.785
Dy 8.009 -1.025 12.665
Dy 1.701 0.322 3.727
Dy 4.855 -1.270 6.430
Dy 7.842 1.650 10.186
Dy 0.945 0.035 8.102
Dy 6.458 3.410 18.362
Dy 10.368 2.105 16.690
Dy 9.612 1.818 21.065
Dy 3.471 0.489 14.606
Dy 4.515 -1.853 12.007
Tb 3.957 -1.996 3.390
Tb 6.605 1.430 6.909
Tb 3.009 -2.356 8.877
Tb -0.948 -0.360 5.487
Tb 0.000 0.000 0.000
Tb 2.648 3.426 3.519
Tb 1.700 3.066 9.006
La 4.399 3.890 15.524
La 1.450 0.073 11.604
La 5.858 -2.151 15.380
La 6.914 -1.750 9.268
La 9.863 2.067 13.188
La 5.455 4.291 9.412
```